--- one ---
DFT (GGA-PBEsol) results for KCu2Au after structural relaxation.

The structure in POSCAR format:
```
KCu2Au
1.0
2.790 0.000 0.000
0.000 4.916 0.000
0.000 0.000 4.916
Au Cu K
1 2 1
Direct
0.500 0.000 0.000
0.000 0.000 0.500
0.000 0.500 0.000
0.500 0.500 0.500
```

=====

--- two ---
DFT (GGA-PBEsol) results for KCu2Au after structural relaxation.

The structure in POSCAR format:
```
KCu2Au
1.0
4.631 0.000 0.000
2.315 4.011 0.000
2.315 1.337 3.781
Au Cu K
1 2 1
Direct
0.000 0.000 0.000
0.250 0.250 0.250
0.750 0.750 0.750
0.500 0.500 0.500
```

=====

Stability, lowest: two

=====

--- one ---
DFT (GGA-PBEsol) results for LiCu2Au after structural relaxation.

The structure in POSCAR format:
```
LiCu2Au
1.0
-2.362 -2.796 0.305
2.509 -1.915 1.879
-1.310 1.460 3.238
Au Cu Li
1 2 1
Direct
0.000 0.000 0.500
0.000 0.500 0.000
0.500 0.000 0.000
0.500 0.500 0.500
```

=====

--- two ---
DFT (GGA-PBEsol) results for LiCu2Au after structural relaxation.

The structure in POSCAR format:
```
LiCu2Au
1.0
-1.656 0.668 3.264
0.326 -3.596 0.901
3.977 2.151 -0.543
Au Cu Li
1 2 1
Direct
0.750 0.250 0.500
0.500 0.500 0.000
0.250 0.750 0.500
0.000 0.000 0.000
```

=====

Stability, lowest: two

=====

--- one ---
DFT (GGA-PBEsol) results for CuNiAu after structural relaxation.

The structure in POSCAR format:
```
CuNiAu
1.0
4.058 0.000 0.000
2.029 3.515 0.000
2.029 1.172 3.314
Au Cu Ni
1 1 1
Direct
0.250 0.250 0.250
0.000 0.000 0.000
0.500 0.500 0.500
```

=====

--- two ---
DFT (GGA-PBEsol) results for CuNiAu after structural relaxation.

The structure in POSCAR format:
```
CuNiAu
1.0
2.758 0.000 0.000
0.000 2.758 0.000
-1.379 -1.379 5.075
Ni Au Cu
1 1 1
Direct
0.323 0.323 0.645
0.999 0.999 0.998
0.679 0.679 0.357
```

=====

--- three ---
DFT (GGA-PBEsol) results for CuNiAu after structural relaxation.

The structure in POSCAR format:
```
CuNiAu
1.0
-1.701 0.904 1.909
1.478 -2.172 2.345
2.765 3.519 -1.128
Ni Au Cu
1 1 1
Direct
0.675 0.675 0.350
0.001 0.001 0.001
0.325 0.325 0.649
```

=====

Stability, lowest: one

=====

--- one ---
DFT (GGA-PBEsol) results for CuOsAu2 after structural relaxation.

The structure in POSCAR format:
```
CuOsAu2
1.0
-1.717 0.902 1.843
-0.596 -4.435 1.616
3.600 0.627 3.048
Au Cu Os
2 1 1
Direct
0.000 0.000 0.500
0.000 0.500 0.000
0.500 0.500 0.500
0.500 0.000 0.000
```

=====

--- two ---
DFT (GGA-PBEsol) results for CuOsAu2 after structural relaxation.

The structure in POSCAR format:
```
CuOsAu2
1.0
-1.378 1.718 1.535
-1.499 -3.621 2.705
3.791 0.530 2.809
Au Cu Os
2 1 1
Direct
0.000 0.000 0.000
0.500 0.000 0.500
0.500 0.500 0.000
0.000 0.500 0.500
```

=====

Stability, lowest: two